Density functional theory data (PBE) for Tl2In2S3 after structural relaxation.

It has space group C2/m (No. 12), with a = 14.9510 Å, b = 4.0364 Å, c = 6.6526 Å, α = 90.00°, β = 99.19° and γ = 90.00°. The inequivalent atoms are Tl at (0.0896, 0.0000, 0.3357), In at (0.1551, 0.5000, 0.8536), S at (0.0000, 0.5000, 0.0000) and S at (0.2440, 0.5000, 0.2389).

The value obtained for the relative energy among the computed polymorphs is 0.000 eV per atom. For the raw formation energy, the calculation gives -0.337 eV per atom.